(1)
Material: Hg6AuI2
Method: DFT, PBE
State: optimized geometry

The structure in POSCAR format:
```
Hg6AuI2
1.0
0.000 5.118 5.118
5.118 0.000 5.118
5.118 5.118 0.000
Hg Au I
6 1 2
direct
0.225 0.225 0.775 Hg
0.225 0.775 0.225 Hg
0.225 0.775 0.775 Hg
0.775 0.225 0.225 Hg
0.775 0.225 0.775 Hg
0.775 0.775 0.225 Hg
0.500 0.500 0.500 Au
0.250 0.250 0.250 I
0.750 0.750 0.750 I
```

Values from the calculation:
For the total magnetization, the calculation gives 0.00 μB/f.u. As for the space-group type: No. 225. The calculation puts the density of states at the Fermi level at 5.8 states/eV/cell. For the total energy, the calculation gives -0.90 eV per atom.

(2)
Material: Hg4AuI2
Method: DFT, PBE
State: optimized geometry

The structure in POSCAR format:
```
Hg4AuI2
1.0
-2.756 2.756 8.251
2.756 -2.756 8.251
2.756 2.756 -8.251
Hg Au I
4 1 2
direct
0.000 0.500 0.500 Hg
0.162 0.162 0.000 Hg
0.500 0.000 0.500 Hg
0.838 0.838 0.000 Hg
0.000 0.000 0.000 Au
0.331 0.331 0.000 I
0.669 0.669 0.000 I
```

Values from the calculation:
For the total magnetization, the calculation gives 0.00 μB/f.u. As for the space-group type: No. 139. The calculation puts the density of states at the Fermi level at 2.9 states/eV/cell. For the total energy, the calculation gives -1.21 eV per atom.

(3)
Material: Hg2Au2I
Method: DFT, PBE
State: optimized geometry

The structure in POSCAR format:
```
Hg2Au2I
1.0
-1.970 1.970 8.391
1.970 -1.970 8.391
1.970 1.970 -8.391
Hg Au I
2 2 1
direct
0.115 0.115 0.000 Hg
0.885 0.885 0.000 Hg
0.250 0.750 0.500 Au
0.750 0.250 0.500 Au
0.500 0.500 0.000 I
```

Values from the calculation:
For the total magnetization, the calculation gives 0.00 μB/f.u. As for the space-group type: No. 139. The calculation puts the density of states at the Fermi level at 2.2 states/eV/cell. For the total energy, the calculation gives -1.67 eV per atom.

(4)
Material: Hg4AuI2
Method: DFT, PBE
State: optimized geometry

The structure in POSCAR format:
```
Hg4AuI2
1.0
4.400 0.000 0.000
-0.045 6.717 0.000
-2.154 -1.751 7.743
Hg Au I
4 1 2
direct
0.004 0.287 0.002 Hg
0.344 0.743 0.687 Hg
0.656 0.257 0.313 Hg
0.996 0.713 0.998 Hg
0.500 0.000 0.000 Au
0.293 0.270 0.591 I
0.707 0.730 0.409 I
```

Values from the calculation:
For the total magnetization, the calculation gives 0.00 μB/f.u. As for the space-group type: No. 2. The calculation puts the density of states at the Fermi level at 1.5 states/eV/cell. For the total energy, the calculation gives -1.16 eV per atom.

(5)
Material: Hg5AuI2
Method: DFT, PBE
State: optimized geometry

The structure in POSCAR format:
```
Hg5AuI2
1.0
5.497 0.000 0.000
-2.478 6.379 0.000
-0.361 -2.634 7.397
Hg Au I
5 1 2
direct
0.000 0.000 0.000 Hg
0.009 0.965 0.535 Hg
0.330 0.670 0.669 Hg
0.541 0.421 0.264 Hg
0.847 0.201 0.354 Hg
0.806 0.615 0.664 Au
0.306 0.715 0.185 I
0.594 0.271 0.803 I
```

Values from the calculation:
For the total magnetization, the calculation gives 0.00 μB/f.u. As for the space-group type: No. 1. The calculation puts the density of states at the Fermi level at 1.7 states/eV/cell. For the total energy, the calculation gives -1.06 eV per atom.

(6)
Material: HgAuI
Method: DFT, PBE
State: optimized geometry

The structure in POSCAR format:
```
HgAuI
1.0
12.074 0.000 0.000
0.000 7.292 0.000
0.000 0.000 4.232
Hg Au I
4 4 4
direct
0.190 0.039 0.250 Hg
0.190 0.461 0.750 Hg
0.810 0.539 0.250 Hg
0.810 0.961 0.750 Hg
0.028 0.123 0.750 Au
0.028 0.377 0.250 Au
0.972 0.623 0.750 Au
0.972 0.877 0.250 Au
0.351 0.507 0.250 I
0.351 0.993 0.750 I
0.649 0.007 0.250 I
0.649 0.493 0.750 I
```

Values from the calculation:
For the total magnetization, the calculation gives 0.00 μB/f.u. As for the space-group type: No. 57. The calculation puts the density of states at the Fermi level at 1.8 states/eV/cell. For the total energy, the calculation gives -1.77 eV per atom.

(7)
Material: Hg6AuI2
Method: DFT, PBE
State: optimized geometry

The structure in POSCAR format:
```
Hg6AuI2
1.0
6.033 0.000 0.000
0.000 6.033 0.000
0.000 0.000 17.708
Hg Au I
12 2 4
direct
0.172 0.172 0.000 Hg
0.221 0.221 0.386 Hg
0.221 0.221 0.614 Hg
0.279 0.721 0.114 Hg
0.279 0.721 0.886 Hg
0.328 0.672 0.500 Hg
0.672 0.328 0.500 Hg
0.721 0.279 0.114 Hg
0.721 0.279 0.886 Hg
0.779 0.779 0.386 Hg
0.779 0.779 0.614 Hg
0.828 0.828 0.000 Hg
0.000 0.000 0.500 Au
0.500 0.500 0.000 Au
0.000 0.000 0.220 I
0.000 0.000 0.780 I
0.500 0.500 0.280 I
0.500 0.500 0.720 I
```

Values from the calculation:
For the total magnetization, the calculation gives 0.00 μB/f.u. As for the space-group type: No. 136. The calculation puts the density of states at the Fermi level at 10.9 states/eV/cell. For the total energy, the calculation gives -0.94 eV per atom.

(8)
Material: Hg2AuI8
Method: DFT, PBE
State: optimized geometry

The structure in POSCAR format:
```
Hg2AuI8
1.0
7.282 -4.513 0.000
7.282 4.513 0.000
-2.299 0.000 8.209
Hg Au I
2 1 8
direct
0.247 0.247 0.374 Hg
0.753 0.753 0.626 Hg
0.000 0.000 0.000 Au
0.088 0.661 0.865 I
0.201 0.201 0.664 I
0.339 0.912 0.135 I
0.427 0.427 0.318 I
0.573 0.573 0.682 I
0.661 0.088 0.865 I
0.799 0.799 0.336 I
0.912 0.339 0.135 I
```

Values from the calculation:
For the total magnetization, the calculation gives 0.96 μB/f.u. As for the space-group type: No. 12. The calculation puts the density of states at the Fermi level at 0.9 states/eV/cell. For the total energy, the calculation gives -1.60 eV per atom.

(9)
Material: InHg2AuI
Method: DFT, PBE
State: optimized geometry

The structure in POSCAR format:
```
InHg2AuI
1.0
5.456 0.000 0.000
0.000 5.456 0.000
0.000 0.000 5.519
In Hg Au I
1 2 1 1
direct
0.000 0.000 0.000 In
0.000 0.500 0.500 Hg
0.500 0.000 0.500 Hg
0.000 0.000 0.500 Au
0.500 0.500 0.000 I
```

Values from the calculation:
For the total magnetization, the calculation gives 0.00 μB/f.u. As for the space-group type: No. 123. The calculation puts the density of states at the Fermi level at 0.9 states/eV/cell. For the total energy, the calculation gives -1.79 eV per atom.

(10)
Material: KHg2AuI
Method: DFT, PBE
State: optimized geometry

The structure in POSCAR format:
```
KHg2AuI
1.0
5.389 0.000 0.000
0.000 5.389 0.000
0.000 0.000 6.608
K Hg Au I
1 2 1 1
direct
0.000 0.000 0.000 K
0.000 0.500 0.500 Hg
0.500 0.000 0.500 Hg
0.000 0.000 0.500 Au
0.500 0.500 0.000 I
```

Values from the calculation:
For the total magnetization, the calculation gives 0.00 μB/f.u. As for the space-group type: No. 123. The calculation puts the density of states at the Fermi level at 2.8 states/eV/cell. For the total energy, the calculation gives -1.75 eV per atom.

(11)
Material: KHgAuI2
Method: DFT, PBE
State: optimized geometry

The structure in POSCAR format:
```
KHgAuI2
1.0
5.984 0.000 0.000
0.000 5.984 0.000
0.000 0.000 5.403
K Hg Au I
1 1 1 2
direct
0.000 0.000 0.000 K
0.500 0.500 0.000 Hg
0.500 0.500 0.500 Au
0.000 0.500 0.500 I
0.500 0.000 0.500 I
```

Values from the calculation:
For the total magnetization, the calculation gives 0.00 μB/f.u. As for the space-group type: No. 123. The calculation puts the density of states at the Fermi level at 1.5 states/eV/cell. For the total energy, the calculation gives -2.08 eV per atom.

(12)
Material: K2HgAuI6
Method: DFT, PBE
State: optimized geometry

The structure in POSCAR format:
```
K2HgAuI6
1.0
7.507 0.000 0.000
3.224 6.800 0.000
3.279 2.019 8.570
K Hg Au I
2 1 1 6
direct
0.000 0.000 0.000 K
0.408 0.397 0.631 K
0.207 0.194 0.317 Hg
0.705 0.697 0.815 Au
0.006 0.511 0.981 I
0.404 0.884 0.650 I
0.438 0.423 0.223 I
0.515 0.000 0.980 I
0.895 0.395 0.650 I
0.976 0.967 0.408 I
```

Values from the calculation:
For the total magnetization, the calculation gives 0.00 μB/f.u. As for the space-group type: No. 1. The calculation puts the density of states at the Fermi level at 3.5 states/eV/cell. For the total energy, the calculation gives -2.17 eV per atom.

(13)
Material: Li2HgAuI6
Method: DFT, PBE
State: optimized geometry

The structure in POSCAR format:
```
Li2HgAuI6
1.0
7.705 -9.358 0.000
7.705 9.358 0.000
-1.749 0.000 6.343
Li Hg Au I
4 2 2 12
direct
0.110 0.317 0.239 Li
0.317 0.110 0.739 Li
0.683 0.890 0.261 Li
0.890 0.683 0.761 Li
0.270 0.730 0.750 Hg
0.730 0.270 0.250 Hg
0.403 0.597 0.250 Au
0.597 0.403 0.750 Au
0.099 0.638 0.934 I
0.135 0.139 0.448 I
0.139 0.135 0.948 I
0.291 0.492 0.488 I
0.362 0.901 0.566 I
0.492 0.291 0.988 I
0.508 0.709 0.012 I
0.638 0.099 0.434 I
0.709 0.508 0.512 I
0.861 0.865 0.052 I
0.865 0.861 0.552 I
0.901 0.362 0.066 I
```

Values from the calculation:
For the total magnetization, the calculation gives 0.00 μB/f.u. As for the space-group type: No. 15. The calculation puts the density of states at the Fermi level at 2.7 states/eV/cell. For the total energy, the calculation gives -2.19 eV per atom.

(14)
Material: HgAuIN2
Method: DFT, PBE
State: optimized geometry

The structure in POSCAR format:
```
HgAuIN2
1.0
4.156 0.000 0.000
0.000 4.156 0.000
0.000 0.000 8.268
Hg Au I N
1 1 1 2
direct
0.000 0.000 0.000 Hg
0.500 0.500 0.500 Au
0.500 0.500 0.000 I
0.000 0.500 0.500 N
0.500 0.000 0.500 N
```

Values from the calculation:
For the total magnetization, the calculation gives 3.53 μB/f.u. As for the space-group type: No. 123. The calculation puts the density of states at the Fermi level at 2.1 states/eV/cell. For the total energy, the calculation gives -2.84 eV per atom.

(15)
Material: HgAuI2N
Method: DFT, PBE
State: optimized geometry

The structure in POSCAR format:
```
HgAuI2N
1.0
6.087 0.000 0.000
0.000 6.087 0.000
0.000 0.000 4.144
Hg Au I N
1 1 2 1
direct
0.000 0.000 0.000 Hg
0.500 0.500 0.500 Au
0.000 0.500 0.000 I
0.500 0.000 0.000 I
0.000 0.000 0.500 N
```

Values from the calculation:
For the total magnetization, the calculation gives 1.97 μB/f.u. As for the space-group type: No. 123. The calculation puts the density of states at the Fermi level at 1.8 states/eV/cell. For the total energy, the calculation gives -1.87 eV per atom.

(16)
Material: HgAuI2N
Method: DFT, PBE
State: optimized geometry

The structure in POSCAR format:
```
HgAuI2N
1.0
6.201 0.000 0.000
0.000 6.201 0.000
0.000 0.000 3.786
Hg Au I N
1 1 2 1
direct
0.000 0.000 0.000 Hg
0.500 0.500 0.500 Au
0.000 0.500 0.500 I
0.500 0.000 0.500 I
0.500 0.500 0.000 N
```

Values from the calculation:
For the total magnetization, the calculation gives 0.25 μB/f.u. As for the space-group type: No. 123. The calculation puts the density of states at the Fermi level at 5.5 states/eV/cell. For the total energy, the calculation gives -2.22 eV per atom.

(17)
Material: HgAuIN2
Method: DFT, PBE
State: optimized geometry

The structure in POSCAR format:
```
HgAuIN2
1.0
4.212 0.000 0.000
0.000 4.212 0.000
0.000 0.000 8.335
Hg Au I N
1 1 1 2
direct
0.000 0.000 0.000 Hg
0.500 0.500 0.500 Au
0.000 0.000 0.500 I
0.000 0.500 0.000 N
0.500 0.000 0.000 N
```

Values from the calculation:
For the total magnetization, the calculation gives 3.40 μB/f.u. As for the space-group type: No. 123. The calculation puts the density of states at the Fermi level at 0.6 states/eV/cell. For the total energy, the calculation gives -2.57 eV per atom.

(18)
Material: NaHg2AuI
Method: DFT, PBE
State: optimized geometry

The structure in POSCAR format:
```
NaHg2AuI
1.0
5.372 0.000 0.000
0.000 5.372 0.000
0.000 0.000 5.970
Na Hg Au I
1 2 1 1
direct
0.000 0.000 0.000 Na
0.000 0.500 0.500 Hg
0.500 0.000 0.500 Hg
0.000 0.000 0.500 Au
0.500 0.500 0.000 I
```

Values from the calculation:
For the total magnetization, the calculation gives 0.00 μB/f.u. As for the space-group type: No. 123. The calculation puts the density of states at the Fermi level at 2.8 states/eV/cell. For the total energy, the calculation gives -1.66 eV per atom.

(19)
Material: Na2HgAuI6
Method: DFT, PBE
State: optimized geometry

The structure in POSCAR format:
```
Na2HgAuI6
1.0
7.515 0.000 0.000
3.068 7.356 0.000
3.281 1.583 7.233
Na Hg Au I
2 1 1 6
direct
0.000 0.000 0.000 Na
0.432 0.563 0.507 Na
0.131 0.207 0.448 Hg
0.645 0.701 0.949 Au
0.280 0.616 0.169 I
0.372 0.140 0.653 I
0.571 0.915 0.191 I
0.729 0.445 0.745 I
0.906 0.308 0.222 I
0.985 0.824 0.706 I
```

Values from the calculation:
For the total magnetization, the calculation gives 0.46 μB/f.u. As for the space-group type: No. 1. The calculation puts the density of states at the Fermi level at 5.7 states/eV/cell. For the total energy, the calculation gives -2.09 eV per atom.

(20)
Material: HgAuI2O
Method: DFT, PBE
State: optimized geometry

The structure in POSCAR format:
```
HgAuI2O
1.0
5.971 0.000 0.000
0.000 5.971 0.000
0.000 0.000 4.047
Hg Au I O
1 1 2 1
direct
0.000 0.000 0.000 Hg
0.500 0.500 0.500 Au
0.000 0.500 0.000 I
0.500 0.000 0.000 I
0.000 0.000 0.500 O
```

Values from the calculation:
For the total magnetization, the calculation gives 0.00 μB/f.u. As for the space-group type: No. 123. The calculation puts the density of states at the Fermi level at 8.0 states/eV/cell. For the total energy, the calculation gives -1.82 eV per atom.